# Cr2GaPbO8 (PBE with a Hubbard U, relaxed)
data_Cr2GaPbO8
_chemical_formula_sum 'Cr2 Ga1 Pb1 O8'
_cell_length_a 5.4968
_cell_length_b 5.4968
_cell_length_c 6.8322
_cell_angle_alpha 90.00
_cell_angle_beta 90.00
_cell_angle_gamma 120.00
_space_group_name_H-M_alt 'P -3 m 1'
_space_group_IT_number 164
_space_group_name_Hall '-P 3 2"'
loop_
_atom_site_label
_atom_site_fract_x
_atom_site_fract_y
_atom_site_fract_z
Cr1 0.3333 0.6667 0.2460
Ga1 0.0000 0.0000 0.5000
Pb1 0.0000 0.0000 0.0000
O1 0.1613 0.3225 0.3176
O2 0.3333 0.6667 0.0049
# N(E_F) (states/eV per cell): 5.880
# Spin magnetization (μB per atom): 0.08
# Raw total energy (eV per atom): -6.3940